No. 1
# HgMoAs

HgMoAs after structural relaxation (PBE, the Open Quantum Materials Database).

Geometry as POSCAR:
```
HgMoAs
1.0
6.321 0.000 0.000
0.000 6.321 0.000
0.000 0.000 6.321
Hg Mo As
4 4 4
Direct
0.000 0.000 0.000
0.000 0.500 0.500
0.500 0.000 0.500
0.500 0.500 0.000
0.250 0.250 0.750
0.250 0.750 0.250
0.750 0.250 0.250
0.750 0.750 0.750
0.000 0.000 0.500
0.000 0.500 0.000
0.500 0.000 0.000
0.500 0.500 0.500
```

Its space-group type is No. 216. Its total magnetization is 1.04 μB/f.u. The value obtained for the theoretical density is 9.77 g/cm3. For the energy above the most stable polymorph in this dataset, the calculation gives 0 meV/atom.



No. 2
# NiHgMoAs

NiHgMoAs after structural relaxation (PBE, the Open Quantum Materials Database).

Geometry as POSCAR:
```
NiHgMoAs
1.0
6.330 0.000 0.000
0.000 6.330 0.000
0.000 0.000 6.330
Ni Hg Mo As
4 4 4 4
Direct
0.000 0.000 0.000
0.000 0.500 0.500
0.500 0.000 0.500
0.500 0.500 0.000
0.250 0.250 0.250
0.250 0.750 0.750
0.750 0.250 0.750
0.750 0.750 0.250
0.000 0.000 0.500
0.000 0.500 0.000
0.500 0.000 0.000
0.500 0.500 0.500
0.250 0.250 0.750
0.250 0.750 0.250
0.750 0.250 0.250
0.750 0.750 0.750
```

Its space-group type is No. 216. Its total magnetization is 0.00 μB/f.u. The value obtained for the theoretical density is 11.27 g/cm3. For the energy above the most stable polymorph in this dataset, the calculation gives 0 meV/atom.



No. 3
# NiHgMoAs

NiHgMoAs after structural relaxation (PBE, the Open Quantum Materials Database).

Geometry as POSCAR:
```
NiHgMoAs
1.0
6.531 0.000 0.000
0.000 6.531 0.000
0.000 0.000 6.531
Ni Hg Mo As
4 4 4 4
Direct
0.000 0.000 0.000
0.000 0.500 0.500
0.500 0.000 0.500
0.500 0.500 0.000
0.000 0.000 0.500
0.000 0.500 0.000
0.500 0.000 0.000
0.500 0.500 0.500
0.250 0.250 0.250
0.250 0.750 0.750
0.750 0.250 0.750
0.750 0.750 0.250
0.250 0.250 0.750
0.250 0.750 0.250
0.750 0.250 0.250
0.750 0.750 0.750
```

Its space-group type is No. 216. Its total magnetization is 2.84 μB/f.u. The value obtained for the theoretical density is 10.25 g/cm3. For the energy above the most stable polymorph in this dataset, the calculation gives 339 meV/atom.



No. 4
# NaHgAsPd

NaHgAsPd after structural relaxation (PBE, the Open Quantum Materials Database).

Geometry as POSCAR:
```
NaHgAsPd
1.0
6.704 0.000 0.000
0.000 6.704 0.000
0.000 0.000 6.704
Na Hg As Pd
4 4 4 4
Direct
0.000 0.000 0.000
0.000 0.500 0.500
0.500 0.000 0.500
0.500 0.500 0.000
0.250 0.250 0.750
0.250 0.750 0.250
0.750 0.250 0.250
0.750 0.750 0.750
0.250 0.250 0.250
0.250 0.750 0.750
0.750 0.250 0.750
0.750 0.750 0.250
0.000 0.000 0.500
0.000 0.500 0.000
0.500 0.000 0.000
0.500 0.500 0.500
```

Its space-group type is No. 216. The value obtained for the theoretical density is 8.93 g/cm3. For the energy above the most stable polymorph in this dataset, the calculation gives 0 meV/atom.